[1]
VASP calculation (PBE) on crystalline La5Pr2Zn2Ga at its relaxed geometry.

a b c (Å): 3.9520 12.6747 12.6747
angles (deg): 90.00 90.00 90.00
Fractional coordinates of all 20 atoms:
Ga1 0.0000 0.0000 0.0000
Pr1 0.0000 0.1804 0.3196
La1 0.5000 0.9459 0.1948
La2 0.5000 0.6948 0.4459
La3 0.5000 0.0541 0.8052
La4 0.5000 0.1948 0.0541
Pr2 0.0000 0.8196 0.6804
La5 0.5000 0.5541 0.6948
La6 0.5000 0.3052 0.5541
Pr3 0.0000 0.6804 0.1804
La7 0.5000 0.5000 0.0000
La8 0.5000 0.8052 0.9459
Pr4 0.0000 0.3196 0.8196
Zn1 0.0000 0.6315 0.8685
La9 0.5000 0.0000 0.5000
Zn2 0.0000 0.1315 0.6315
Ga2 0.0000 0.5000 0.5000
Zn3 0.0000 0.3685 0.1315
La10 0.5000 0.4459 0.3052
Zn4 0.0000 0.8685 0.3685

Results
E_form = -0.211 eV/atom
DOS at the Fermi energy = 1.3033 states/eV per atom
space group = No. 127

=====

[2]
VASP calculation (PBE) on crystalline La2Pr5Zn2Ga at its relaxed geometry.

a b c (Å): 3.8761 12.6588 12.6588
angles (deg): 90.00 90.00 90.00
Fractional coordinates of all 20 atoms:
Zn1 0.0000 0.3691 0.1309
Ga1 0.0000 0.5000 0.5000
Pr1 0.5000 0.1952 0.0524
Pr2 0.5000 0.3048 0.5524
La1 0.0000 0.6820 0.1820
Zn2 0.0000 0.8691 0.3691
Zn3 0.0000 0.1309 0.6309
La2 0.0000 0.3180 0.8180
Pr3 0.5000 0.6952 0.4476
Pr4 0.5000 0.9476 0.1952
Pr5 0.5000 0.8048 0.9476
Pr6 0.5000 0.4476 0.3048
La3 0.0000 0.1820 0.3180
La4 0.0000 0.8180 0.6820
Pr7 0.5000 0.5000 0.0000
Zn4 0.0000 0.6309 0.8691
Pr8 0.5000 0.5524 0.6952
Ga2 0.0000 0.0000 0.0000
Pr9 0.5000 0.0000 0.5000
Pr10 0.5000 0.0524 0.8048

Results
E_form = -0.206 eV/atom
DOS at the Fermi energy = 1.2575 states/eV per atom
space group = No. 127

=====

[3]
VASP calculation (PBE) on crystalline La7Ga2Pt2 at its relaxed geometry.

a b c (Å): 7.0638 7.1599 7.0638
angles (deg): 89.99 107.84 90.01
Fractional coordinates of all 11 atoms:
La1 0.0000 0.0000 0.0000
Pt1 0.2911 0.0000 0.7089
Pt2 0.7089 0.0000 0.2911
La2 0.5000 0.2718 0.0000
Ga1 0.8452 0.5000 0.8452
La3 0.5000 0.7240 0.5000
La4 0.0000 0.2718 0.5000
Ga2 0.1548 0.5000 0.1548
La5 0.5000 0.7282 0.0000
La6 0.0000 0.7282 0.5000
La7 0.5000 0.2760 0.5000

Results
E_form = -0.554 eV/atom
DOS at the Fermi energy = 0.9699 states/eV per atom
space group = No. 65

=====

[4]
VASP calculation (PBE) on crystalline LaGa4Pt3 at its relaxed geometry.

a b c (Å): 4.2884 4.2884 8.4441
angles (deg): 90.00 90.00 90.00
Fractional coordinates of all 8 atoms:
Ga1 0.5000 0.0000 0.8270
Ga2 0.0000 0.5000 0.1730
Pt1 0.5000 0.5000 0.3396
Ga3 0.5000 0.0000 0.1730
Pt2 0.0000 0.0000 0.0000
La1 0.0000 0.0000 0.5000
Ga4 0.0000 0.5000 0.8270
Pt3 0.5000 0.5000 0.6604

Results
E_form = -0.821 eV/atom
DOS at the Fermi energy = 0.6471 states/eV per atom
space group = No. 123

=====

[5]
VASP calculation (PBE) on crystalline LaGa5Pt7 at its relaxed geometry.

a b c (Å): 5.4282 6.8988 6.8988
angles (deg): 82.91 66.83 66.83
Fractional coordinates of all 13 atoms:
Ga1 0.0117 0.4860 0.0022
Ga2 0.0117 0.0022 0.4860
Ga3 0.7242 0.7758 0.7758
Pt1 0.5181 0.7706 0.1932
Pt2 0.2721 0.2279 0.2279
Pt3 0.5181 0.1932 0.7706
Pt4 0.9860 0.3554 0.6726
Pt5 0.3264 0.6736 0.6736
Pt6 0.9860 0.6726 0.3554
Ga4 0.5001 0.4860 0.0022
Pt7 0.6524 0.3476 0.3476
Ga5 0.5001 0.0022 0.4860
La1 0.9932 0.0068 0.0068

Results
E_form = -0.647 eV/atom
DOS at the Fermi energy = 0.3171 states/eV per atom
space group = No. 44

=====

[6]
VASP calculation (PBE) on crystalline LaGaPt at its relaxed geometry.

a b c (Å): 4.5102 7.8677 14.9124
angles (deg): 90.00 90.00 90.00
Fractional coordinates of all 24 atoms:
Pt1 0.0000 0.9031 0.1128
La1 0.0000 0.2866 0.0000
La2 0.0000 0.2007 0.2450
Ga1 0.5000 0.0817 0.9077
Ga2 0.0000 0.9183 0.5923
Pt2 0.5000 0.0969 0.3872
Pt3 0.0000 0.5863 0.6483
La3 0.5000 0.7993 0.7450
La4 0.0000 0.2007 0.7550
Ga3 0.5000 0.4217 0.3404
Pt4 0.5000 0.4137 0.8517
La5 0.5000 0.7122 0.0000
La6 0.5000 0.7134 0.5000
Ga4 0.5000 0.4217 0.6596
La7 0.5000 0.7993 0.2550
Ga5 0.0000 0.9183 0.4077
Pt5 0.0000 0.9031 0.8872
Pt6 0.5000 0.4137 0.1483
La8 0.0000 0.2878 0.5000
Pt7 0.0000 0.5863 0.3517
Ga6 0.0000 0.5783 0.1596
Ga7 0.0000 0.5783 0.8404
Pt8 0.5000 0.0969 0.6128
Ga8 0.5000 0.0817 0.0923

Results
E_form = -1.040 eV/atom
DOS at the Fermi energy = 0.7363 states/eV per atom
space group = No. 59

=====

[7]
VASP calculation (PBE) on crystalline La2GaPt2 at its relaxed geometry.

a b c (Å): 5.7479 5.7479 5.6389
angles (deg): 59.36 59.36 90.00
Fractional coordinates of all 5 atoms:
La1 0.7500 0.2500 0.5000
Pt1 0.6665 0.6665 0.6670
La2 0.2500 0.7500 0.5000
Ga1 0.0000 0.0000 0.0000
Pt2 0.3335 0.3335 0.3330

Results
E_form = -0.898 eV/atom
DOS at the Fermi energy = 1.1163 states/eV per atom
space group = No. 139

=====

[8]
VASP calculation (PBE) on crystalline La2Ga2Pt15 at its relaxed geometry.

a b c (Å): 7.0325 7.0325 7.0325
angles (deg): 83.70 83.70 83.70
Fractional coordinates of all 19 atoms:
Pt1 0.6822 0.3178 0.0000
Ga1 0.9005 0.9005 0.9005
Pt2 0.0000 0.5000 0.0000
Pt3 0.0000 0.3178 0.6822
Pt4 0.6822 0.0000 0.3178
Pt5 0.3178 0.6822 0.0000
Pt6 0.3396 0.3396 0.8391
Pt7 0.0000 0.0000 0.5000
Pt8 0.6604 0.6604 0.1609
La1 0.6534 0.6534 0.6534
La2 0.3466 0.3466 0.3466
Pt9 0.3178 0.0000 0.6822
Ga2 0.0995 0.0995 0.0995
Pt10 0.3396 0.8391 0.3396
Pt11 0.1609 0.6604 0.6604
Pt12 0.6604 0.1609 0.6604
Pt13 0.5000 0.0000 0.0000
Pt14 0.0000 0.6822 0.3178
Pt15 0.8391 0.3396 0.3396

Results
E_form = -0.540 eV/atom
DOS at the Fermi energy = 0.7183 states/eV per atom
space group = No. 166

=====

[9]
VASP calculation (PBE) on crystalline La8GaPt2 at its relaxed geometry.

a b c (Å): 6.0492 8.0299 8.0299
angles (deg): 113.89 96.59 96.59
Fractional coordinates of all 11 atoms:
La1 0.3600 0.6645 0.9303
La2 0.5924 0.3150 0.0697
La3 0.3600 0.9303 0.6645
La4 0.9857 0.7534 0.2302
Ga1 0.0954 0.0197 0.0197
La5 0.8072 0.6536 0.6536
Pt1 0.5104 0.3190 0.6884
La6 0.5924 0.0697 0.3150
Pt2 0.5104 0.6884 0.3190
La7 0.2001 0.3900 0.3900
La8 0.9857 0.2302 0.7534

Results
E_form = -0.456 eV/atom
DOS at the Fermi energy = 1.3610 states/eV per atom
space group = No. 8

=====

[10]
VASP calculation (PBE) on crystalline LaGa4Pt8 at its relaxed geometry.

a b c (Å): 5.5059 6.8643 6.8643
angles (deg): 80.74 66.36 66.36
Fractional coordinates of all 13 atoms:
Pt1 0.7272 0.7728 0.7728
Ga1 0.5000 0.5000 0.0000
Pt2 0.2728 0.2272 0.2272
Pt3 0.6641 0.3359 0.3359
Pt4 0.0000 0.3359 0.6641
Ga2 0.5000 0.0000 0.5000
Pt5 0.3359 0.6641 0.6641
La1 0.0000 0.0000 0.0000
Pt6 0.5000 0.7728 0.2272
Ga3 0.0000 0.5000 0.0000
Ga4 0.0000 0.0000 0.5000
Pt7 0.0000 0.6641 0.3359
Pt8 0.5000 0.2272 0.7728

Results
E_form = -0.667 eV/atom
DOS at the Fermi energy = 0.4835 states/eV per atom
space group = No. 139

=====

[11]
VASP calculation (PBE) on crystalline La3Ga3Pt at its relaxed geometry.

a b c (Å): 4.5457 3.9863 10.4067
angles (deg): 101.04 102.62 90.00
Fractional coordinates of all 7 atoms:
Ga1 0.1384 0.6384 0.2769
La1 0.9961 0.9961 0.9923
Ga2 0.8620 0.3620 0.7240
Ga3 0.5626 0.5626 0.1252
La2 0.3188 0.8188 0.6376
Pt1 0.4329 0.4329 0.8657
La3 0.6892 0.1892 0.3783

Results
E_form = -0.757 eV/atom
DOS at the Fermi energy = 0.9392 states/eV per atom
space group = No. 44

=====

[12]
VASP calculation (PBE) on crystalline La4Ga3Pt at its relaxed geometry.

a b c (Å): 4.4898 4.3867 11.0458
angles (deg): 90.00 90.00 90.00
Fractional coordinates of all 8 atoms:
La1 0.5000 0.5000 0.3469
Ga1 0.0000 0.5000 0.5690
Ga2 0.5000 0.0000 0.9325
Ga3 0.0000 0.0000 0.4275
Pt1 0.5000 0.5000 0.0744
La2 0.0000 0.0000 0.1400
La3 0.0000 0.5000 0.8664
La4 0.5000 0.0000 0.6432

Results
E_form = -0.720 eV/atom
DOS at the Fermi energy = 1.0162 states/eV per atom
space group = No. 25

=====

[13]
VASP calculation (PBE) on crystalline La2Ga2Pt at its relaxed geometry.

a b c (Å): 4.5405 5.8957 10.1707
angles (deg): 86.71 77.10 67.35
Fractional coordinates of all 10 atoms:
Pt1 0.6079 0.1212 0.6630
Ga1 0.0945 0.2573 0.5537
Ga2 0.6270 0.8559 0.8900
Ga3 0.9055 0.7427 0.4463
Ga4 0.3730 0.1441 0.1100
Pt2 0.3921 0.8788 0.3370
La1 0.0729 0.7322 0.1220
La2 0.3172 0.6989 0.6668
La3 0.6828 0.3011 0.3332
La4 0.9271 0.2678 0.8780

Results
E_form = -0.844 eV/atom
DOS at the Fermi energy = 0.9450 states/eV per atom
space group = No. 12

=====

[14]
VASP calculation (PBE) on crystalline La3Ga2Pt7 at its relaxed geometry.

a b c (Å): 4.1437 4.1792 15.1120
angles (deg): 97.95 90.00 90.00
Fractional coordinates of all 12 atoms:
La1 0.5000 0.5000 0.0000
Pt1 0.0000 0.7890 0.5780
Pt2 0.0000 0.0000 0.0000
La2 0.5000 0.7011 0.4022
Pt3 0.5000 0.8700 0.7400
Pt4 0.0000 0.2110 0.4220
Pt5 0.0000 0.6294 0.2588
La3 0.5000 0.2989 0.5978
Pt6 0.0000 0.3706 0.7412
Pt7 0.5000 0.1300 0.2600
Ga1 0.0000 0.9176 0.8352
Ga2 0.0000 0.0824 0.1648

Results
E_form = -0.851 eV/atom
DOS at the Fermi energy = 0.3012 states/eV per atom
space group = No. 65

=====

[15]
VASP calculation (PBE) on crystalline LaGa2Pt4 at its relaxed geometry.

a b c (Å): 4.2200 7.3554 16.7427
angles (deg): 90.00 90.00 90.00
Fractional coordinates of all 28 atoms:
Pt1 0.7500 0.8074 0.2843
Pt2 0.2500 0.8966 0.1691
Pt3 0.2500 0.0540 0.9473
Ga1 0.2500 0.6078 0.3107
Ga2 0.2500 0.7478 0.5224
Pt4 0.2500 0.3966 0.0412
La1 0.7500 0.5600 0.1481
Ga3 0.2500 0.8922 0.8107
Pt5 0.7500 0.6034 0.9588
Ga4 0.2500 0.7522 0.0224
La2 0.2500 0.4400 0.8519
Pt6 0.2500 0.1926 0.7157
Pt7 0.7500 0.1034 0.8309
Pt8 0.7500 0.9460 0.0527
Pt9 0.7500 0.8966 0.4588
Ga5 0.7500 0.2522 0.4776
Ga6 0.7500 0.1078 0.1893
La3 0.2500 0.0600 0.3519
La4 0.7500 0.9400 0.6481
Ga7 0.7500 0.2478 0.9776
Pt10 0.2500 0.3074 0.2157
Pt11 0.2500 0.1034 0.5412
Pt12 0.7500 0.5540 0.5527
Pt13 0.7500 0.3966 0.3309
Ga8 0.7500 0.3922 0.6893
Pt14 0.7500 0.6926 0.7843
Pt15 0.2500 0.4460 0.4473
Pt16 0.2500 0.6034 0.6691

Results
E_form = -0.793 eV/atom
DOS at the Fermi energy = 0.4750 states/eV per atom
space group = No. 62

=====

[16]
VASP calculation (PBE) on crystalline LaGa4Pt6 at its relaxed geometry.

a b c (Å): 3.9914 7.3893 7.3893
angles (deg): 120.00 90.00 90.00
Fractional coordinates of all 11 atoms:
Pt1 0.0000 0.5333 0.0666
Pt2 0.5000 0.1972 0.3945
Pt3 0.0000 0.9334 0.4667
Ga1 0.5000 0.8005 0.6011
Ga2 0.5000 0.3989 0.1995
Pt4 0.0000 0.5333 0.4667
Pt5 0.5000 0.1972 0.8028
Ga3 0.5000 0.8005 0.1995
Ga4 0.0000 0.3333 0.6667
Pt6 0.5000 0.6055 0.8028
La1 0.0000 0.0000 0.0000

Results
E_form = -0.820 eV/atom
DOS at the Fermi energy = 0.4692 states/eV per atom
space group = No. 187

=====

[17]
VASP calculation (PBE) on crystalline LaGaPt at its relaxed geometry.

a b c (Å): 4.5488 7.2537 7.9424
angles (deg): 90.00 90.00 90.00
Fractional coordinates of all 12 atoms:
Pt1 0.7500 0.7202 0.6003
Pt2 0.7500 0.2202 0.8997
La1 0.2500 0.5239 0.8038
La2 0.7500 0.4761 0.1962
Pt3 0.2500 0.7798 0.1003
Ga1 0.2500 0.1631 0.0739
Ga2 0.2500 0.6631 0.4261
La3 0.2500 0.0239 0.6962
Ga3 0.7500 0.8369 0.9261
La4 0.7500 0.9761 0.3038
Ga4 0.7500 0.3369 0.5739
Pt4 0.2500 0.2798 0.3997

Results
E_form = -1.058 eV/atom
DOS at the Fermi energy = 0.5302 states/eV per atom
space group = No. 62

=====

[18]
VASP calculation (PBE) on crystalline LaGa6Pt3 at its relaxed geometry.

a b c (Å): 4.3539 9.0149 9.4992
angles (deg): 86.97 90.00 90.00
Fractional coordinates of all 20 atoms:
La1 0.2500 0.9450 0.2967
Ga1 0.2500 0.1030 0.9645
La2 0.7500 0.0550 0.7033
Ga2 0.2500 0.8203 0.6216
Ga3 0.7500 0.4627 0.0980
Pt1 0.7500 0.1774 0.1001
Ga4 0.2500 0.2949 0.7498
Ga5 0.7500 0.6914 0.7883
Ga6 0.7500 0.1797 0.3784
Pt2 0.2500 0.8226 0.8999
Ga7 0.7500 0.8970 0.0355
Pt3 0.2500 0.2805 0.4843
Pt4 0.7500 0.7195 0.5157
Ga8 0.2500 0.3086 0.2117
Ga9 0.7500 0.4283 0.5673
Pt5 0.2500 0.5990 0.1590
Ga10 0.2500 0.5717 0.4327
Ga11 0.7500 0.7051 0.2502
Ga12 0.2500 0.5373 0.9020
Pt6 0.7500 0.4010 0.8410

Results
E_form = -0.719 eV/atom
DOS at the Fermi energy = 0.3579 states/eV per atom
space group = No. 11

=====

[19]
VASP calculation (PBE) on crystalline La3GaPt8 at its relaxed geometry.

a b c (Å): 5.5337 5.5337 9.5492
angles (deg): 73.16 73.16 60.00
Fractional coordinates of all 12 atoms:
La1 0.4899 0.4899 0.5303
La2 0.0122 0.0122 0.9634
Pt1 0.8090 0.8090 0.5731
Pt2 0.5644 0.0589 0.3178
Pt3 0.5610 0.5610 0.8220
Pt4 0.3100 0.3100 0.0699
Pt5 0.0560 0.5610 0.8220
La3 0.6209 0.6209 0.1372
Pt6 0.0589 0.0589 0.3178
Pt7 0.0589 0.5644 0.3178
Pt8 0.5610 0.0560 0.8220
Ga1 0.1476 0.1476 0.5571

Results
E_form = -0.982 eV/atom
DOS at the Fermi energy = 0.4900 states/eV per atom
space group = No. 160